[1]
Crystalline As2PAuBr at its relaxed geometry, computed with PBE.

a = 5.1197 Å, b = 5.1197 Å, c = 5.0819 Å
α = 90.00°, β = 90.00°, γ = 90.00°
Last column: nearest neighbours and their distance in Å.
Fractional positions:
As1 0.5000 0.0000 0.0000  2 Au 2.56
As2 0.0000 0.5000 0.0000  2 Au 2.56
Au1 0.0000 0.0000 0.0000  2 Br 2.54, 4 As 2.56
Br1 0.0000 0.0000 0.5000  2 Au 2.54
P1 0.5000 0.5000 0.5000  8 As 3.61, 4 Br 3.62

Summary:
Polymorph energy (0 for the lowest one) = 28.5 kJ/mol of atoms
E = -14.26 eV for the cell shown
Formation energy from raw total energies = 1079 meV/atom
Magnetic moment = 0.03 μB per atom


[2]
Crystalline As2PAuBr at its relaxed geometry, computed with PBE.

a = 4.8583 Å, b = 4.8583 Å, c = 4.9095 Å
α = 90.00°, β = 90.00°, γ = 90.00°
Last column: nearest neighbours and their distance in Å.
Fractional positions:
Au1 0.5000 0.5000 0.5000  4 Br 3.44, 8 As 3.45
Br1 0.0000 0.0000 0.5000  2 P 2.45
As1 0.0000 0.5000 0.0000  2 P 2.43
As2 0.5000 0.0000 0.0000  2 P 2.43
P1 0.0000 0.0000 0.0000  4 As 2.43, 2 Br 2.45

Summary:
Polymorph energy (0 for the lowest one) = 0.0 kJ/mol of atoms
E = -15.74 eV for the cell shown
Formation energy from raw total energies = 784 meV/atom
Magnetic moment = 0.14 μB per atom


[3]
Crystalline As2PbAuBr at its relaxed geometry, computed with PBE.

a = 5.0771 Å, b = 5.0771 Å, c = 5.4215 Å
α = 90.00°, β = 90.00°, γ = 90.00°
Last column: nearest neighbours and their distance in Å.
Fractional positions:
Pb1 0.5000 0.5000 0.5000  4 Br 3.59, 8 As 3.71
As1 0.5000 0.0000 0.0000  2 Au 2.54
As2 0.0000 0.5000 0.0000  2 Au 2.54
Au1 0.0000 0.0000 0.0000  4 As 2.54, 2 Br 2.71
Br1 0.0000 0.0000 0.5000  2 Au 2.71

Summary:
Polymorph energy (0 for the lowest one) = 0.0 kJ/mol of atoms
E = -15.80 eV for the cell shown
Formation energy from raw total energies = 431 meV/atom
Magnetic moment = 0.20 μB per atom


[4]
Crystalline AsPbAuBr2 at its relaxed geometry, computed with PBE.

a = 5.3256 Å, b = 5.3256 Å, c = 5.2384 Å
α = 90.00°, β = 90.00°, γ = 90.00°
Last column: nearest neighbours and their distance in Å.
Fractional positions:
Au1 0.0000 0.0000 0.0000  2 As 2.62, 4 Br 2.66
Br1 0.5000 0.0000 0.0000  2 Au 2.66
Br2 0.0000 0.5000 0.0000  2 Au 2.66
As1 0.0000 0.0000 0.5000  2 Au 2.62
Pb1 0.5000 0.5000 0.5000  8 Br 3.74, 4 As 3.77

Summary:
Polymorph energy (0 for the lowest one) = 0.0 kJ/mol of atoms
E = -14.06 eV for the cell shown
Formation energy from raw total energies = 185 meV/atom
Magnetic moment = 0.00 μB per atom


[5]
Crystalline As2PbAuBr at its relaxed geometry, computed with PBE.

a = 5.5556 Å, b = 5.3242 Å, c = 5.5556 Å
α = 90.00°, β = 90.00°, γ = 90.00°
Last column: nearest neighbours and their distance in Å.
Fractional positions:
As1 0.5000 0.0000 0.0000  2 Pb 2.78
As2 0.0000 0.0000 0.5000  2 Pb 2.78
Au1 0.0000 0.5000 0.0000  2 Pb 2.66
Pb1 0.0000 0.0000 0.0000  2 Au 2.66, 4 As 2.78
Br1 0.5000 0.5000 0.5000  8 As 3.85, 4 Au 3.93

Summary:
Polymorph energy (0 for the lowest one) = 45.3 kJ/mol of atoms
E = -13.45 eV for the cell shown
Formation energy from raw total energies = 901 meV/atom
Magnetic moment = 0.43 μB per atom


[6]
Crystalline As2PdAuBr at its relaxed geometry, computed with PBE.

a = 4.8812 Å, b = 4.8812 Å, c = 5.1382 Å
α = 90.00°, β = 90.00°, γ = 90.00°
Last column: nearest neighbours and their distance in Å.
Fractional positions:
As1 0.0000 0.5000 0.0000  2 Pd 2.44
As2 0.5000 0.0000 0.0000  2 Pd 2.44
Br1 0.0000 0.0000 0.5000  2 Pd 2.57
Au1 0.5000 0.5000 0.5000  4 Br 3.45, 8 As 3.54
Pd1 0.0000 0.0000 0.0000  4 As 2.44, 2 Br 2.57

Summary:
Polymorph energy (0 for the lowest one) = 0.0 kJ/mol of atoms
E = -16.41 eV for the cell shown
Formation energy from raw total energies = 607 meV/atom
Magnetic moment = 0.18 μB per atom


Look up the E of the sixth one.
-16.41 eV for the cell shown


Which formula does entry 1 have?
As2PAuBr


Which formula does entry 6 have?
As2PdAuBr


Number 4 is which compound?
AsPbAuBr2